No. 1
Computed, not measured: an optimized crystal structure of MnAlNi6 at the PBEsol level of DFT.

The structure in POSCAR format:
```
MnAlNi6
1.0
6.0709 0.0011 0.0000
-2.0245 5.7233 0.0000
0.0000 0.0000 9.9096
Al Mn Ni
4 4 24
Direct
0.2502 0.7498 0.5000
0.7498 0.2502 0.5000
0.0000 0.0000 0.7502
0.0000 0.0000 0.2498
0.2501 0.7499 0.0000
0.7499 0.2501 0.0000
0.5000 0.5000 0.7499
0.5000 0.5000 0.2501
0.2507 0.7493 0.7513
0.8743 0.6236 0.8755
0.1257 0.3764 0.8755
0.7493 0.2507 0.7513
0.3764 0.1257 0.8755
0.6236 0.8743 0.8755
0.5000 0.5000 0.5000
0.1266 0.3757 0.6257
0.3757 0.1266 0.6257
0.2507 0.7493 0.2487
0.8734 0.6243 0.3743
0.1266 0.3757 0.3743
0.7493 0.2507 0.2487
0.3757 0.1266 0.3743
0.6243 0.8734 0.3743
0.5000 0.5000 0.0000
0.1257 0.3764 0.1245
0.3764 0.1257 0.1245
0.0000 0.0000 0.5000
0.6243 0.8734 0.6257
0.8734 0.6243 0.6257
0.0000 0.0000 0.0000
0.6236 0.8743 0.1245
0.8743 0.6236 0.1245
```

formation energy: -0.2583 eV per atom
DOS(E_F): 1.09 states/eV per atom
total magnetization: 18.92 Bohr magnetons per cell



No. 2
Computed, not measured: an optimized crystal structure of AlZn2Cu at the PBEsol level of DFT.

The structure in POSCAR format:
```
AlZn2Cu
1.0
-1.1946 -1.7542 1.7160
0.3927 -2.6841 -0.3001
6.5476 -1.0607 5.6442
Zn Al Cu
2 1 1
Direct
0.2556 0.2556 0.2333
0.7444 0.7444 0.7667
0.5000 0.5000 0.5000
0.0000 0.0000 0.0000
```

formation energy: -0.0043 eV per atom
DOS(E_F): 0.41 states/eV per atom
total magnetization: 0.00 Bohr magnetons per cell



No. 3
Computed, not measured: an optimized crystal structure of SiSbTe2Br at the PBEsol level of DFT.

The structure in POSCAR format:
```
SiSbTe2Br
1.0
5.4791 0.0000 0.0000
0.0000 5.3882 0.0000
0.0000 0.0000 5.3882
Sb Si Te Br
1 1 2 1
Direct
0.5000 0.0000 0.0000
0.5000 0.5000 0.5000
0.0000 0.0000 0.5000
0.0000 0.5000 0.0000
0.0000 0.0000 0.0000
```

formation energy (no corrections): 1148 meV/atom
DOS(E_F): 1.00 states/eV per atom
total magnetization: 0.00 Bohr magnetons per cell



No. 4
Computed, not measured: an optimized crystal structure of Li2CeO3 at the PBEsol level of DFT.

The structure in POSCAR format:
```
Li2CeO3
1.0
-4.0754 1.2818 3.6554
-0.1983 -4.2506 -3.6752
3.4018 -2.4778 3.6692
Li Ce O
4 2 6
Direct
0.2128 0.7872 0.2500
0.5745 0.4255 0.2500
0.7872 0.2128 0.7500
0.4255 0.5745 0.7500
0.8987 0.1013 0.2500
0.1013 0.8987 0.7500
0.6986 0.8420 0.5288
0.8420 0.6986 0.0288
0.5000 0.0000 0.0000
0.1580 0.3014 0.9712
0.0000 0.5000 0.5000
0.3014 0.1580 0.4712
```

formation energy (no corrections): -2602 meV/atom
DOS(E_F): 0.00 states/eV per atom
total magnetization: 0.00 Bohr magnetons per cell



No. 5
Computed, not measured: an optimized crystal structure of CeB2C2 at the PBEsol level of DFT.

The structure in POSCAR format:
```
CeB2C2
1.0
3.6681 0.0000 0.0000
0.0000 5.3540 0.0000
0.0000 0.0000 5.3540
Ce B C
2 4 4
Direct
0.0000 0.0000 0.0000
0.0000 0.5000 0.5000
0.5000 0.3642 0.1358
0.5000 0.1358 0.6358
0.5000 0.6358 0.8642
0.5000 0.8642 0.3642
0.5000 0.3374 0.8374
0.5000 0.6626 0.1626
0.5000 0.8374 0.6626
0.5000 0.1626 0.3374
```

formation energy: -0.4516 eV per atom
DOS(E_F): 0.76 states/eV per atom
total magnetization: 0.86 Bohr magnetons per cell



No. 6
Computed, not measured: an optimized crystal structure of SbOs2W at the PBEsol level of DFT.

The structure in POSCAR format:
```
SbOs2W
1.0
3.0216 0.0000 0.0000
0.0000 4.5859 0.0000
-1.5108 -2.2929 4.5354
Os Sb W
2 1 1
Direct
0.7345 0.7345 0.4690
0.2655 0.2655 0.5310
0.0000 0.5000 0.0000
0.5000 0.0000 0.0000
```

formation energy (no corrections): 600 meV/atom
DOS(E_F): 0.89 states/eV per atom
total magnetization: 0.00 Bohr magnetons per cell



No. 7
Computed, not measured: an optimized crystal structure of Be2Rh at the PBEsol level of DFT.

The structure in POSCAR format:
```
Be2Rh
1.0
3.5947 0.0000 0.0000
0.0000 4.5529 0.0000
0.0000 0.0000 7.0646
Be Rh
8 4
Direct
0.7500 0.2994 0.6897
0.2500 0.2006 0.1897
0.7500 0.7994 0.8103
0.2500 0.7006 0.3103
0.7500 0.3635 0.0241
0.2500 0.1365 0.5241
0.7500 0.8635 0.4759
0.2500 0.6365 0.9759
0.7500 0.8667 0.1341
0.2500 0.6333 0.6341
0.7500 0.3667 0.3659
0.2500 0.1333 0.8659
```

formation energy: -0.5602 eV per atom
DOS(E_F): 0.29 states/eV per atom
total magnetization: 0.00 Bohr magnetons per cell



No. 8
Computed, not measured: an optimized crystal structure of ZnCuIr2 at the PBEsol level of DFT.

The structure in POSCAR format:
```
ZnCuIr2
1.0
2.7081 0.0000 0.0000
1.3541 2.3453 0.0000
1.3541 0.7818 8.4007
Zn Ir Cu
1 2 1
Direct
0.5000 0.5000 0.5000
0.2506 0.2506 0.2482
0.7494 0.7494 0.7518
0.0000 0.0000 0.0000
```

formation energy: -0.0111 eV per atom
DOS(E_F): 1.03 states/eV per atom
total magnetization: 0.00 Bohr magnetons per cell



No. 9
Computed, not measured: an optimized crystal structure of LiTi2V3O12 at the PBEsol level of DFT.

The structure in POSCAR format:
```
LiTi2V3O12
1.0
-4.3229 -1.5541 7.7699
6.2111 -6.1062 2.2343
6.7080 8.9204 5.7315
Li Ti V O
4 8 12 48
Direct
0.2093 0.2265 0.8138
0.2907 0.7265 0.6862
0.7093 0.2735 0.3138
0.7907 0.7735 0.1862
0.2507 0.4778 0.3770
0.2493 0.9778 0.1230
0.2545 0.5375 0.8842
0.2455 0.0375 0.6158
0.7545 0.9625 0.3842
0.7455 0.4625 0.1158
0.7507 0.0222 0.8770
0.7493 0.5222 0.6230
0.0293 0.7529 0.5102
0.1012 0.6183 0.1439
0.1072 0.8937 0.8578
0.3988 0.1183 0.3561
0.3928 0.3937 0.6422
0.4707 0.2529 0.9898
0.5293 0.7471 0.0102
0.6072 0.6063 0.3578
0.6012 0.8817 0.6439
0.8928 0.1063 0.1422
0.8988 0.3817 0.8561
0.9707 0.2471 0.4898
0.0686 0.1271 0.5682
0.0822 0.1074 0.1365
0.0898 0.3340 0.4066
0.0860 0.4104 0.8381
0.1211 0.6283 0.4313
0.1307 0.8016 0.1638
0.1568 0.5699 0.0169
0.1655 0.0229 0.7655
0.1754 0.7205 0.8230
0.1603 0.8421 0.5870
0.1947 0.5134 0.2348
0.3053 0.0134 0.2652
0.3220 0.4432 0.5249
0.1780 0.9432 0.9751
0.3397 0.3421 0.9130
0.3246 0.2205 0.6770
0.3432 0.0699 0.4831
0.3345 0.5229 0.7345
0.3693 0.3016 0.3362
0.3789 0.1283 0.0687
0.4102 0.8340 0.0934
0.4178 0.6074 0.3635
0.4140 0.9104 0.6619
0.4314 0.6271 0.9318
0.5686 0.3729 0.0682
0.5860 0.0896 0.3381
0.5822 0.3926 0.6365
0.5898 0.1660 0.9066
0.6211 0.8717 0.9313
0.6307 0.6984 0.6638
0.6655 0.4771 0.2655
0.6568 0.9301 0.5169
0.6754 0.7795 0.3230
0.6603 0.6579 0.0870
0.8220 0.0568 0.0249
0.6780 0.5568 0.4751
0.6947 0.9866 0.7348
0.8053 0.4866 0.7652
0.8397 0.1579 0.4130
0.8246 0.2795 0.1770
0.8345 0.9771 0.2345
0.8432 0.4301 0.9831
0.8693 0.1984 0.8362
0.8789 0.3717 0.5687
0.9140 0.5896 0.1619
0.9102 0.6660 0.5934
0.9178 0.8926 0.8635
0.9314 0.8729 0.4318
```

energy relative to the lowest polymorph listed for this composition: 0.0 meV per atom
formation energy (no corrections): -2572 meV/atom
DOS(E_F): 0.00 states/eV per atom
total magnetization: 0.00 Bohr magnetons per cell



No. 10
Computed, not measured: an optimized crystal structure of NbVRe at the PBEsol level of DFT.

The structure in POSCAR format:
```
NbVRe
1.0
-1.2927 -1.7476 1.6310
2.4499 -0.9644 -0.6734
2.0116 4.3000 4.7285
Nb V Re
1 1 1
Direct
0.9986 0.9986 0.9973
0.3274 0.3274 0.6549
0.6739 0.6739 0.3479
```

formation energy: -0.1392 eV per atom
DOS(E_F): 0.63 states/eV per atom
total magnetization: 0.00 Bohr magnetons per cell



No. 11
Computed, not measured: an optimized crystal structure of SrIn2GeN at the PBEsol level of DFT.

The structure in POSCAR format:
```
SrIn2GeN
1.0
-2.4665 -1.3451 -2.4943
-0.0564 -5.0269 2.7666
-4.3281 1.8538 3.2801
Sr Ge N In
1 1 1 2
Direct
0.5000 0.5000 0.5000
0.0000 0.0000 0.0000
0.5000 0.0000 0.0000
0.0000 0.0000 0.5000
0.0000 0.5000 0.0000
```

formation energy (no corrections): 362 meV/atom
DOS(E_F): 0.54 states/eV per atom
total magnetization: 0.00 Bohr magnetons per cell



No. 12
Computed, not measured: an optimized crystal structure of Sc3Ni4Ge4 at the PBEsol level of DFT.

The structure in POSCAR format:
```
Sc3Ni4Ge4
1.0
3.3020 0.0000 0.0000
0.0000 4.0374 0.0000
-1.6510 -2.0187 12.2517
Sc Ni Ge
3 4 4
Direct
0.3542 0.8542 0.7084
0.6458 0.1458 0.2916
0.5000 0.5000 0.0000
0.9050 0.4050 0.8100
0.7576 0.7576 0.5151
0.2424 0.2424 0.4849
0.0950 0.5950 0.1900
0.9488 0.9488 0.8975
0.0512 0.0512 0.1025
0.8105 0.3105 0.6210
0.1895 0.6895 0.3790
```

formation energy: -0.7229 eV per atom
DOS(E_F): 0.56 states/eV per atom
total magnetization: 0.00 Bohr magnetons per cell